Density functional theory data (PBE) for crystalline Ca3Sm2HoTe6 at its relaxed geometry.

## Properties
Total DFT energy (no corrections): -4.716 eV per atom
D(E_F): 5.09 states/eV per cell
Formation energy from raw total energies: -1.477 eV per atom
Size of the total moment: 0.0 μB per cell
Density: 5.99 g/cm3

Lattice parameters (Å, degrees): 7.650 7.650 7.811 99.42 99.42 119.93
Fractional coordinates of all 12 atoms:
1 Ca 0.169 0.831 0.500
2 Ca 0.831 0.169 0.500
3 Ca 0.500 0.500 0.500
4 Sm 0.334 0.666 0.000
5 Sm 0.666 0.334 0.000
6 Ho 0.000 0.000 0.000
7 Te 0.918 0.590 0.752
8 Te 0.757 0.757 0.250
9 Te 0.082 0.410 0.248
10 Te 0.590 0.918 0.752
11 Te 0.243 0.243 0.750
12 Te 0.410 0.082 0.248

=====

Density functional theory data (PBE) for crystalline Ca4Sm3HoTe8 at its relaxed geometry.

## Properties
Total DFT energy (no corrections): -4.724 eV per atom
D(E_F): 6.14 states/eV per cell
Formation energy from raw total energies: -1.482 eV per atom
Size of the total moment: 0.0 μB per cell
Density: 5.96 g/cm3

Lattice parameters (Å, degrees): 8.839 8.985 8.839 119.46 120.00 90.00
Fractional coordinates of all 16 atoms:
1 Ca 0.500 0.000 0.000
2 Ca 0.500 0.000 0.500
3 Ca 0.000 0.000 0.000
4 Ca 0.000 0.000 0.500
5 Sm 0.500 0.500 0.000
6 Sm 0.500 0.500 0.500
7 Sm 0.000 0.500 0.500
8 Ho 0.000 0.500 0.000
9 Te 0.247 0.749 0.001
10 Te 0.247 0.749 0.494
11 Te 0.249 0.248 0.499
12 Te 0.754 0.749 0.001
13 Te 0.246 0.251 0.999
14 Te 0.751 0.752 0.501
15 Te 0.753 0.251 0.506
16 Te 0.753 0.251 0.999

=====

Density functional theory data (PBE) for crystalline Ca2Sm3HoTe6 at its relaxed geometry.

## Properties
Total DFT energy (no corrections): -4.901 eV per atom
D(E_F): 5.86 states/eV per cell
Formation energy from raw total energies: -1.435 eV per atom
Size of the total moment: 0.0 μB per cell
Density: 6.54 g/cm3

Lattice parameters (Å, degrees): 7.627 7.627 7.799 99.40 99.40 120.04
Fractional coordinates of all 12 atoms:
1 Ca 0.334 0.666 0.000
2 Ca 0.666 0.334 0.000
3 Sm 0.173 0.827 0.500
4 Sm 0.827 0.173 0.500
5 Sm 0.500 0.500 0.500
6 Ho 0.000 0.000 0.000
7 Te 0.919 0.590 0.758
8 Te 0.755 0.755 0.250
9 Te 0.081 0.410 0.242
10 Te 0.590 0.919 0.758
11 Te 0.245 0.245 0.750
12 Te 0.410 0.081 0.242

=====

Density functional theory data (PBE) for crystalline Ca3SmHo3Te8 at its relaxed geometry.

## Properties
Total DFT energy (no corrections): -4.783 eV per atom
D(E_F): 4.82 states/eV per cell
Formation energy from raw total energies: -1.477 eV per atom
Size of the total moment: 0.0 μB per cell
Density: 6.11 g/cm3

Lattice parameters (Å, degrees): 8.752 8.752 8.894 119.49 90.00 120.00
Fractional coordinates of all 15 atoms:
1 Ca 0.000 0.000 0.000
2 Ca 0.000 0.500 0.000
3 Ca 0.500 0.500 0.000
4 Sm 0.000 0.000 0.500
5 Ho 0.500 0.000 0.500
6 Ho 0.500 0.500 0.500
7 Ho 0.000 0.500 0.500
8 Te 0.252 0.505 0.257
9 Te 0.748 0.495 0.743
10 Te 0.746 0.491 0.252
11 Te 0.254 0.509 0.748
12 Te 0.746 0.007 0.253
13 Te 0.254 0.993 0.747
14 Te 0.261 0.007 0.253
15 Te 0.739 0.993 0.747

=====

> Among the records above, which one has the lowest formation energy from raw total energies?

Ca4Sm3HoTe8

=====

> Which of these has the highest formation energy from raw total energies?

Ca2Sm3HoTe6

=====

> Which of these has the lowest density?

Ca4Sm3HoTe8

=====

> Among the records above, which one has the highest formation energy from raw total energies?

Ca2Sm3HoTe6